## P
The following is a GGA-PBEsol calculation of an optimized crystal structure of LaScZn2, from the Alexandria database.

Lattice parameters (Å, degrees): 3.4318 3.4318 7.1952 90.00 90.00 90.00
Space group P4/mmm (No. 123)
Inequivalent atoms, fractional coordinates:
La1 0.0000 0.0000 0.0000 (multiplicity 1)
Sc1 0.0000 0.0000 0.5000 (multiplicity 1)
Zn1 0.5000 0.5000 0.2970 (multiplicity 2)

Values from the calculation:
V = 21.19 Å³ per atom
Magnetic moment = 0.0 μB/cell
N(E_F) = 1.07 states/eV/atom

---

## Q
The following is a GGA-PBEsol calculation of an optimized crystal structure of LaScZn2, from the Alexandria database.

Lattice parameters (Å, degrees): 7.0351 7.0351 7.0351 90.00 90.00 90.00
Space group Fm-3m (No. 225)
Inequivalent atoms, fractional coordinates:
La1 0.0000 0.0000 0.0000 (multiplicity 4)
Sc1 0.0000 0.0000 0.5000 (multiplicity 4)
Zn1 0.2500 0.2500 0.2500 (multiplicity 8)

Values from the calculation:
V = 21.76 Å³ per atom
Magnetic moment = 0.0 μB/cell
N(E_F) = 1.20 states/eV/atom

---

Most stable = P

---

## P
The following is a GGA-PBEsol calculation of an optimized crystal structure of LaZrSc, from the Alexandria database.

Lattice parameters (Å, degrees): 3.8509 3.8509 10.3134 90.00 90.00 90.00
Space group I4mm (No. 107)
Inequivalent atoms, fractional coordinates:
La1 0.0000 0.0000 0.0000 (multiplicity 2)
Zr1 0.0000 0.0000 0.3217 (multiplicity 2)
Sc1 0.0000 0.0000 0.6786 (multiplicity 2)

Values from the calculation:
V = 25.49 Å³ per atom
Magnetic moment = 0.0 μB/cell
N(E_F) = 1.43 states/eV/atom

---

## Q
The following is a GGA-PBEsol calculation of an optimized crystal structure of LaZrSc, from the Alexandria database.

Lattice parameters (Å, degrees): 6.9628 6.9628 6.9628 90.00 90.00 90.00
Space group F-43m (No. 216)
Inequivalent atoms, fractional coordinates:
La1 0.0000 0.0000 0.0000 (multiplicity 4)
Zr1 0.2500 0.2500 0.2500 (multiplicity 4)
Sc1 0.2500 0.2500 0.7500 (multiplicity 4)

Values from the calculation:
V = 28.13 Å³ per atom
Magnetic moment = 7.7 μB/cell
N(E_F) = 1.22 states/eV/atom

---

Most stable = P